Compound: Sr2CaAlFe
Source: Alexandria
Functional: PBE
Structure: relaxed

Output
formation energy	0.739	eV per atom
raw total energy	-2.775	eV per atom

Cell: 6.181 6.181 5.833 Å, 90.00 90.00 90.00°
Positions (direct):
Sr 0.000 0.500 0.000
Sr 0.500 0.000 0.000
Ca 0.000 0.000 0.500
Al 0.000 0.000 0.000
Fe 0.500 0.500 0.500